Na12SnHg7, relaxed, DFT PBE; VASP energy = -1.275 eV/atom; calculated volume = 28.21 Å³ per atom; formation energy = -17 kJ per mole of atoms
1.0
-4.920 6.959 -2.588
-5.288 -7.149 0.515
3.230 1.703 8.124
Hg Na Sn
7 12 1
Direct
0.598 0.753 0.900
0.900 0.598 0.753
0.247 0.100 0.402
0.100 0.402 0.247
0.402 0.247 0.100
0.500 0.500 0.500
0.753 0.900 0.598
0.814 0.527 0.368
0.368 0.814 0.527
0.012 0.313 0.859
0.859 0.012 0.313
0.527 0.368 0.814
0.186 0.473 0.632
0.313 0.859 0.012
0.473 0.632 0.186
0.141 0.988 0.687
0.988 0.687 0.141
0.687 0.141 0.988
0.632 0.186 0.473
0.000 0.000 0.000

=====

Na2Sn3Hg2, relaxed, DFT PBE; VASP energy = -2.309 eV/atom; energy relative to the lowest polymorph listed for this composition = 8 meV per atom; calculated volume = 26.22 Å³ per atom; formation energy = -13 kJ per mole of atoms
1.0
-3.268 1.364 -3.834
-0.026 -5.018 1.437
-3.296 2.496 6.972
Hg Sn Na
2 3 2
Direct
0.424 0.709 0.133
0.576 0.291 0.867
0.301 0.153 0.454
0.000 0.000 0.000
0.699 0.847 0.546
0.849 0.422 0.271
0.151 0.578 0.729

=====

Repeat the first record exactly.
Na12SnHg7, relaxed, DFT PBE; VASP energy = -1.275 eV/atom; calculated volume = 28.21 Å³ per atom; formation energy = -17 kJ per mole of atoms
1.0
-4.920 6.959 -2.588
-5.288 -7.149 0.515
3.230 1.703 8.124
Hg Na Sn
7 12 1
Direct
0.598 0.753 0.900
0.900 0.598 0.753
0.247 0.100 0.402
0.100 0.402 0.247
0.402 0.247 0.100
0.500 0.500 0.500
0.753 0.900 0.598
0.814 0.527 0.368
0.368 0.814 0.527
0.012 0.313 0.859
0.859 0.012 0.313
0.527 0.368 0.814
0.186 0.473 0.632
0.313 0.859 0.012
0.473 0.632 0.186
0.141 0.988 0.687
0.988 0.687 0.141
0.687 0.141 0.988
0.632 0.186 0.473
0.000 0.000 0.000

=====

What is the formula in the first record? Na12SnHg7

=====

Which value of formation energy does entry 2 give? -13 kJ per mole of atoms

=====

What did the second record say?
Na2Sn3Hg2, relaxed, DFT PBE; VASP energy = -2.309 eV/atom; energy relative to the lowest polymorph listed for this composition = 8 meV per atom; calculated volume = 26.22 Å³ per atom; formation energy = -13 kJ per mole of atoms
1.0
-3.268 1.364 -3.834
-0.026 -5.018 1.437
-3.296 2.496 6.972
Hg Sn Na
2 3 2
Direct
0.424 0.709 0.133
0.576 0.291 0.867
0.301 0.153 0.454
0.000 0.000 0.000
0.699 0.847 0.546
0.849 0.422 0.271
0.151 0.578 0.729